[1]
Computed, not measured: Ce2YCd after structural relaxation at the PBE level of DFT.

a = 5.258 Å, b = 4.577 Å, c = 4.577 Å
α = 90.00°, β = 90.00°, γ = 90.00°
Sites, in units of the cell vectors:
Ce1 0.000 0.500 0.000
Ce2 0.000 0.000 0.500
Y1 0.500 0.500 0.500
Cd1 0.500 0.000 0.000

Output
Formation energy from the elements in eV per atom: -0.03
Calculated density in Mg/m³: 7.26
Energy above the most stable polymorph in this dataset in meV per atom: 0.0
SG: No. 123

---

[2]
Computed, not measured: AlAgP2 after structural relaxation at the PBE level of DFT.

a = 5.478 Å, b = 5.478 Å, c = 5.478 Å
α = 146.46°, β = 132.34°, γ = 59.54°
Sites, in units of the cell vectors:
Ag1 0.524 0.524 0.000
Al1 0.227 0.727 0.500
P1 0.963 0.963 0.000
P2 0.786 0.286 0.500

Output
Formation energy from the elements in eV per atom: 0.24
Calculated density in Mg/m³: 4.91
SG: No. 44

---

[3]
Computed, not measured: Pu2TlGe3Pt4 after structural relaxation at the PBE level of DFT.

a = 4.228 Å, b = 4.228 Å, c = 11.250 Å
α = 90.00°, β = 90.00°, γ = 90.00°
Sites, in units of the cell vectors:
Ge1 0.000 0.500 0.125
Ge2 0.500 0.000 0.875
Ge3 0.000 0.000 0.500
Pu1 0.000 0.500 0.760
Pu2 0.500 0.000 0.240
Pt1 0.500 0.000 0.660
Pt2 0.000 0.000 0.000
Pt3 0.500 0.500 0.000
Pt4 0.000 0.500 0.340
Tl1 0.500 0.500 0.500

Output
Formation energy from the elements in eV per atom: -0.55
Calculated density in Mg/m³: 13.96
SG: No. 115

---

[4]
Computed, not measured: PmScCo after structural relaxation at the PBE level of DFT.

a = 3.534 Å, b = 6.555 Å, c = 6.903 Å
α = 118.35°, β = 104.82°, γ = 90.00°
Sites, in units of the cell vectors:
Sc1 0.405 0.095 0.929
Sc2 0.405 0.564 0.929
Co1 0.013 0.437 0.144
Co2 0.798 0.222 0.714
Pm1 0.122 0.046 0.363
Pm2 0.688 0.612 0.495

Output
Formation energy from the elements in eV per atom: -0.16
Calculated density in Mg/m³: 6.14
Energy above the most stable polymorph in this dataset in meV per atom: 0.0
SG: No. 71

---

[5]
Computed, not measured: Na3In3TeO8 after structural relaxation at the PBE level of DFT.

a = 6.631 Å, b = 6.631 Å, c = 6.797 Å
α = 119.20°, β = 90.00°, γ = 120.00°
Sites, in units of the cell vectors:
In1 0.000 0.500 0.500
In2 0.500 0.000 0.500
In3 0.500 0.500 0.500
O1 0.231 0.463 0.704
O2 0.736 0.471 0.707
O3 0.769 0.027 0.296
O4 0.742 0.973 0.704
O5 0.258 0.027 0.296
O6 0.231 0.973 0.704
O7 0.264 0.529 0.293
O8 0.769 0.537 0.296
Na1 0.500 0.500 0.000
Na2 0.000 0.500 0.000
Na3 0.000 0.000 0.000
Te1 0.000 0.000 0.500

Output
Calculated density in Mg/m³: 5.20
SG: No. 166
Energy relative to the elements, uncorrected in eV per atom: -1.46

---

[6]
Computed, not measured: AlS2BrCl after structural relaxation at the PBE level of DFT.

a = 4.762 Å, b = 4.762 Å, c = 4.582 Å
α = 90.00°, β = 90.00°, γ = 90.00°
Sites, in units of the cell vectors:
Br1 0.500 0.500 0.500
S1 0.500 0.000 0.000
S2 0.000 0.500 0.000
Al1 0.000 0.000 0.000
Cl1 0.000 0.000 0.500

Output
Calculated density in Mg/m³: 3.30
Energy above the most stable polymorph in this dataset in meV per atom: 0.0
SG: No. 123
Energy relative to the elements, uncorrected in eV per atom: -0.02

---

[7]
Computed, not measured: BaPdS2Cl after structural relaxation at the PBE level of DFT.

a = 4.843 Å, b = 4.843 Å, c = 4.997 Å
α = 90.00°, β = 90.00°, γ = 90.00°
Sites, in units of the cell vectors:
S1 0.000 0.500 0.000
S2 0.500 0.000 0.000
Ba1 0.500 0.500 0.500
Pd1 0.000 0.000 0.000
Cl1 0.000 0.000 0.500

Output
Calculated density in Mg/m³: 4.86
Energy above the most stable polymorph in this dataset in meV per atom: 0.0
SG: No. 123
Energy relative to the elements, uncorrected in eV per atom: -1.00

---

[8]
Computed, not measured: HCl after structural relaxation at the PBE level of DFT.

a = 2.227 Å, b = 5.050 Å, c = 7.490 Å
α = 109.74°, β = 90.00°, γ = 90.00°
Sites, in units of the cell vectors:
H1 0.250 0.001 0.001
H2 0.750 0.999 0.999
Cl1 0.250 0.643 0.286
Cl2 0.750 0.357 0.714

Output
Calculated density in Mg/m³: 1.53
Energy in eV per atom: -2.3126
SG: No. 63

---

What is the formula in the first record? Ce2YCd

---

Number 6 is which compound? AlS2BrCl

---

Which of these has the highest calculated density? Pu2TlGe3Pt4

---

Which formula does entry 6 have? AlS2BrCl